Compound: Np2TcPt
Source: Alexandria via LeMat-Bulk
Functional: PBE
Structure: optimized geometry

The structure belongs to space group Fm-3m (No. 225); the cell edges are 6.834, 6.834 and 6.834 Å and the angles 90.00°, 90.00° and 90.00°. The asymmetric unit holds Np at (0.250, 0.250, 0.250), Tc at (0.000, 0.000, 0.000) and Pt at (0.000, 0.000, 0.500).

Its energy above the most stable polymorph in this dataset is 45 meV per atom. The theoretical density comes out at 15.97 g/cm³. The value obtained for the calculated formation energy is -0.06 eV per atom.



Compound: TlIn2SbAu4
Source: Alexandria via LeMat-Bulk
Functional: PBE
Structure: optimized geometry

The structure belongs to space group Fmm2 (No. 42); the cell edges are 8.838, 11.591 and 7.534 Å and the angles 90.00°, 90.00° and 90.00°. The asymmetric unit holds Tl at (0.000, 0.000, 0.000), In at (0.250, 0.250, 0.252), Sb at (0.000, 0.000, 0.500), Au at (0.000, 0.244, 0.502) and Au at (0.250, 0.000, 0.250).

The theoretical density comes out at 11.56 g/cm³. For the uncorrected formation energy, the calculation gives -0.066 eV per atom.



Compound: OsW2Au
Source: Alexandria via LeMat-Bulk
Functional: PBE
Structure: optimized geometry

The structure belongs to space group Pmm2 (No. 25); the cell edges are 2.873, 4.511 and 4.885 Å and the angles 90.00°, 90.00° and 90.00°. The asymmetric unit holds Os at (0.000, 0.000, 0.000), W at (0.500, 0.000, 0.510), W at (0.500, 0.500, 0.845) and Au at (0.000, 0.500, 0.344).

Its energy above the most stable polymorph in this dataset is 41 meV per atom. The theoretical density comes out at 19.80 g/cm³. The value obtained for the calculated formation energy is 0.25 eV per atom.



Compound: Tl2SiTe4
Source: Alexandria via LeMat-Bulk
Functional: PBE
Structure: optimized geometry

The structure belongs to space group P2_1/m (No. 11); the cell edges are 7.781, 6.390 and 11.139 Å and the angles 90.00°, 107.42° and 90.00°. The asymmetric unit holds Tl at (0.083, 0.250, 0.432), Tl at (0.291, 0.750, 0.065), Si at (0.498, 0.750, 0.718), Te at (0.178, 0.250, 0.162), Te at (0.289, 0.007, 0.779) and Te at (0.454, 0.750, 0.482).

Its energy above the most stable polymorph in this dataset is 0 meV per atom. The theoretical density comes out at 5.95 g/cm³. For the uncorrected formation energy, the calculation gives -0.146 eV per atom.



Compound: MgTaPRh2
Source: Alexandria via LeMat-Bulk
Functional: PBE
Structure: optimized geometry

The structure belongs to space group P4/mmm (No. 123); the cell edges are 4.385, 4.385 and 4.576 Å and the angles 90.00°, 90.00° and 90.00°. The asymmetric unit holds Mg at (0.000, 0.000, 0.000), Ta at (0.500, 0.500, 0.000), P at (0.000, 0.000, 0.500) and Rh at (0.000, 0.500, 0.500).

The theoretical density comes out at 8.34 g/cm³. The value obtained for the calculated formation energy is 0.40 eV per atom.



Compound: SrZn2Ir
Source: Alexandria via LeMat-Bulk
Functional: PBE
Structure: optimized geometry

The structure belongs to space group Cmmm (No. 65); the cell edges are 5.863, 8.039 and 3.201 Å and the angles 90.00°, 90.00° and 90.00°. The asymmetric unit holds Sr at (0.000, 0.000, 0.000), Zn at (0.250, 0.250, 0.500) and Ir at (0.000, 0.500, 0.000).

The theoretical density comes out at 9.04 g/cm³. The value obtained for the calculated formation energy is 0.28 eV per atom.



Compound: Na3Dy2NpSe6
Source: Alexandria via LeMat-Bulk
Functional: PBE
Structure: optimized geometry

The structure belongs to space group C2/m (No. 12); the cell edges are 7.233, 12.511 and 7.401 Å and the angles 90.00°, 108.96° and 90.00°. The asymmetric unit holds Na at (0.000, 0.000, 0.000), Na at (0.000, 0.333, 0.000), Dy at (0.000, 0.166, 0.500), Np at (0.000, 0.500, 0.500), Se at (0.240, 0.000, 0.731) and Se at (0.246, 0.331, 0.730).

The theoretical density comes out at 5.79 g/cm³. For the uncorrected formation energy, the calculation gives -1.525 eV per atom.



Compound: NaSnHgTe
Source: Alexandria via LeMat-Bulk
Functional: PBE
Structure: optimized geometry

The structure belongs to space group F-43m (No. 216); the cell edges are 7.698, 7.698 and 7.698 Å and the angles 90.00°, 90.00° and 90.00°. The asymmetric unit holds Na at (0.000, 0.000, 0.000), Sn at (0.000, 0.000, 0.500), Hg at (0.250, 0.250, 0.250) and Te at (0.250, 0.250, 0.750).

The theoretical density comes out at 6.84 g/cm³. For the uncorrected formation energy, the calculation gives -0.205 eV per atom.



Compound: LiIn4SnSe8
Source: Alexandria via LeMat-Bulk
Functional: PBE
Structure: optimized geometry

The structure belongs to space group R3m (No. 160, hexagonal axes); the cell edges are 8.1732, 8.1732 and 19.8400 Å and the angles 90.00°, 90.00° and 120.00°. The asymmetric unit holds Li at (0.0000, 0.0000, 0.0000), In at (0.0000, 0.0000, 0.2500), In at (0.1752, 0.3504, 0.4573), Sn at (0.0000, 0.0000, 0.6323), Se at (0.0000, 0.0000, 0.3864), Se at (0.0000, 0.0000, 0.8701), Se at (0.0116, 0.5058, 0.3784) and Se at (0.1783, 0.3565, 0.2052).

The theoretical density comes out at 5.28 g/cm³. For the uncorrected formation energy, the calculation gives -0.565 eV per atom.



Compound: LaPrNd2
Source: Alexandria via LeMat-Bulk
Functional: PBE
Structure: optimized geometry

The structure belongs to space group P4/mmm (No. 123); the cell edges are 5.240, 5.240 and 5.228 Å and the angles 90.00°, 90.00° and 90.00°. The asymmetric unit holds La at (0.000, 0.000, 0.000), Pr at (0.500, 0.500, 0.000) and Nd at (0.000, 0.500, 0.500).

Its energy above the most stable polymorph in this dataset is 0 meV per atom. The theoretical density comes out at 6.57 g/cm³. The value obtained for the calculated formation energy is 0.01 eV per atom.



Compound: Ba5H2Pb2
Source: Alexandria via LeMat-Bulk
Functional: PBE
Structure: optimized geometry

The structure belongs to space group Ima2 (No. 46); the cell edges are 23.072, 7.790 and 7.740 Å and the angles 90.00°, 90.00° and 90.00°. The asymmetric unit holds Ba at (0.010, 0.246, 0.000), Ba at (0.143, 0.550, 0.772), Ba at (0.250, 0.120, 0.868), H at (0.000, 0.000, 0.254), H at (0.250, 0.076, 0.211) and Pb at (0.111, 0.000, 0.741).

The value obtained for the raw total energy is -3.10 eV per atom. The theoretical density comes out at 5.27 g/cm³.



Compound: MgSc4Si4O14
Source: Alexandria via LeMat-Bulk
Functional: PBE
Structure: optimized geometry

The structure belongs to space group R3m (No. 160, hexagonal axes); the cell edges are 6.6283, 6.6283 and 17.2726 Å and the angles 90.00°, 90.00° and 120.00°. The asymmetric unit holds Mg at (0.0000, 0.0000, 0.0000), Sc at (0.0000, 0.0000, 0.2356), Sc at (0.1882, 0.3763, 0.0889), Si at (0.0000, 0.0000, 0.7328), Si at (0.0053, 0.5027, 0.2350), O at (0.0000, 0.0000, 0.1136), O at (0.0000, 0.0000, 0.3512), O at (0.0603, 0.5302, 0.3438), O at (0.0752, 0.5376, 0.5878), O at (0.1998, 0.3996, 0.4625) and O at (0.2011, 0.4022, 0.2173).

Its energy above the most stable polymorph in this dataset is 0 meV per atom. The theoretical density comes out at 4.10 g/cm³. For the uncorrected formation energy, the calculation gives -2.758 eV per atom.



Compound: Rb3ZnHg3
Source: Alexandria via LeMat-Bulk
Functional: PBE
Structure: optimized geometry

The structure belongs to space group C2/m (No. 12); the cell edges are 13.374, 5.098 and 17.576 Å and the angles 90.00°, 110.88° and 90.00°. The asymmetric unit holds Rb at (0.019, 0.000, 0.392), Rb at (0.107, 0.000, 0.919), Rb at (0.246, 0.500, 0.764), Zn at (0.234, 0.500, 0.400), Hg at (0.054, 0.500, 0.245), Hg at (0.099, 0.500, 0.080) and Hg at (0.174, 0.500, 0.544).

The theoretical density comes out at 5.48 g/cm³. The value obtained for the calculated formation energy is -0.17 eV per atom.



Compound: Ti3Pd2Rh
Source: Alexandria via LeMat-Bulk
Functional: PBE
Structure: optimized geometry

The structure belongs to space group Cmcm (No. 63); the cell edges are 2.915, 24.708 and 5.315 Å and the angles 90.00°, 90.00° and 90.00°. The asymmetric unit holds Ti at (0.000, 0.080, 0.002), Ti at (0.000, 0.250, 0.250), Pd at (0.000, 0.341, 0.750), Pd at (0.000, 0.497, 0.250) and Rh at (0.000, 0.169, 0.750).

Its energy above the most stable polymorph in this dataset is 208 meV per atom. The theoretical density comes out at 7.97 g/cm³. The value obtained for the calculated formation energy is -0.36 eV per atom.



Compound: BaPu2NiS4
Source: Alexandria via LeMat-Bulk
Functional: PBE
Structure: optimized geometry

The structure belongs to space group Cmcm (No. 63); the cell edges are 4.004, 13.445 and 13.500 Å and the angles 90.00°, 90.00° and 90.00°. The asymmetric unit holds Ba at (0.000, 0.103, 0.250), Pu at (0.000, 0.366, 0.060), Ni at (0.000, 0.163, 0.750), S at (0.000, 0.000, 0.000), S at (0.000, 0.263, 0.616) and S at (0.000, 0.425, 0.250).

The theoretical density comes out at 7.42 g/cm³. For the uncorrected formation energy, the calculation gives -1.617 eV per atom.



Compound: ScInSe2
Source: Alexandria via LeMat-Bulk
Functional: PBE
Structure: optimized geometry

The structure belongs to space group Amm2 (No. 38); the cell edges are 4.164, 3.897 and 11.498 Å and the angles 90.00°, 90.00° and 90.00°. The asymmetric unit holds Sc at (0.000, 0.000, 0.000), In at (0.500, 0.000, 0.808), Se at (0.000, 0.000, 0.320) and Se at (0.500, 0.000, 0.576).

The theoretical density comes out at 5.66 g/cm³. For the uncorrected formation energy, the calculation gives -0.965 eV per atom.



Compound: Nd2MgInN
Source: Alexandria via LeMat-Bulk
Functional: PBE
Structure: optimized geometry

The structure belongs to space group P4/mmm (No. 123); the cell edges are 5.095, 5.095 and 4.398 Å and the angles 90.00°, 90.00° and 90.00°. The asymmetric unit holds Nd at (0.000, 0.500, 0.000), Mg at (0.000, 0.000, 0.500), In at (0.500, 0.500, 0.500) and N at (0.000, 0.000, 0.000).

The theoretical density comes out at 6.42 g/cm³. For the uncorrected formation energy, the calculation gives -0.732 eV per atom.



Compound: ErLuCdTc
Source: Alexandria via LeMat-Bulk
Functional: PBE
Structure: optimized geometry

The structure belongs to space group F-43m (No. 216); the cell edges are 7.030, 7.030 and 7.030 Å and the angles 90.00°, 90.00° and 90.00°. The asymmetric unit holds Er at (0.000, 0.000, 0.000), Lu at (0.000, 0.000, 0.500), Cd at (0.250, 0.250, 0.750) and Tc at (0.250, 0.250, 0.250).

The theoretical density comes out at 10.57 g/cm³. The value obtained for the calculated formation energy is -0.13 eV per atom.



Compound: Na2Y2S
Source: Alexandria via LeMat-Bulk
Functional: PBE
Structure: optimized geometry

The structure belongs to space group P4/mbm (No. 127); the cell edges are 7.200, 7.200 and 6.375 Å and the angles 90.00°, 90.00° and 90.00°. The asymmetric unit holds Na at (0.155, 0.345, 0.000), Y at (0.169, 0.669, 0.500) and S at (0.000, 0.000, 0.500).

Its energy above the most stable polymorph in this dataset is 0 meV per atom. The theoretical density comes out at 2.57 g/cm³. For the uncorrected formation energy, the calculation gives -0.438 eV per atom.



Compound: CePm2Ag3
Source: Alexandria via LeMat-Bulk
Functional: PBE
Structure: optimized geometry

The structure belongs to space group P4/mmm (No. 123); the cell edges are 3.689, 3.689 and 11.440 Å and the angles 90.00°, 90.00° and 90.00°. The asymmetric unit holds Ce at (0.000, 0.000, 0.000), Pm at (0.000, 0.000, 0.334), Ag at (0.500, 0.500, 0.172) and Ag at (0.500, 0.500, 0.500).

The theoretical density comes out at 8.04 g/cm³. The value obtained for the calculated formation energy is -0.19 eV per atom.